# PaCrTcO6 | Alexandria | GGA+U | relaxed
# Final energy   -8.5761 eV/atom
# SG   P-31c (163)
# Crystal system   trigonal
data_PaCrTcO6
_chemical_formula_sum 'Pa2 Cr2 Tc2 O12'
_cell_length_a 5.333
_cell_length_b 5.333
_cell_length_c 8.866
_cell_angle_alpha 90.00
_cell_angle_beta 90.00
_cell_angle_gamma 120.00
_symmetry_space_group_name_H-M 'P 1'
_symmetry_Int_Tables_number 1
loop_
_symmetry_equiv_pos_as_xyz
'x,y,z'
loop_
_atom_site_label
_atom_site_fract_x
_atom_site_fract_y
_atom_site_fract_z
Pa1 0.333 0.667 0.250
Pa2 0.667 0.333 0.750
Cr1 0.667 0.333 0.250
Cr2 0.333 0.667 0.750
Tc1 0.000 0.000 0.000
Tc2 0.000 0.000 0.500
O1 0.687 0.667 0.126
O2 0.980 0.313 0.126
O3 0.313 0.980 0.626
O4 0.020 0.687 0.874
O5 0.333 0.313 0.374
O6 0.980 0.667 0.374
O7 0.667 0.980 0.874
O8 0.687 0.020 0.374
O9 0.020 0.333 0.626
O10 0.333 0.020 0.126
O11 0.667 0.687 0.626
O12 0.313 0.333 0.874